[1]
Material: Ce2HoTm3As6
Method: DFT, PBE-GGA
State: optimized geometry

Lattice parameters (Å, degrees): 4.125 8.237 9.203 102.80 102.95 90.00
Each line ends with the local moment (μB).
Positions (direct):
Tm 0.833 0.166 0.667  0.00
Tm 0.167 0.834 0.333  0.00
Tm 0.500 0.500 0.000  0.00
Ho 0.500 0.000 0.000  0.01
Ce 0.166 0.331 0.331  0.57
Ce 0.834 0.669 0.669  0.57
As 0.667 0.078 0.334  -0.01
As 0.998 0.251 0.996  -0.01
As 0.665 0.588 0.330  -0.01
As 0.335 0.412 0.670  -0.01
As 0.002 0.749 0.004  -0.01
As 0.333 0.922 0.666  -0.01

SG	No. 12

---

[2]
Material: Ce3Ho2TmAs6
Method: DFT, PBE-GGA
State: optimized geometry

Lattice parameters (Å, degrees): 7.198 7.198 7.180 99.62 99.62 120.00
Each line ends with the local moment (μB).
Positions (direct):
As 0.919 0.587 0.757  -0.02
As 0.749 0.749 0.244  -0.02
As 0.081 0.413 0.243  -0.02
As 0.413 0.081 0.243  -0.02
As 0.587 0.919 0.757  -0.02
As 0.251 0.251 0.756  -0.02
Ce 0.167 0.833 0.500  0.59
Ce 0.500 0.500 0.500  0.59
Ce 0.833 0.167 0.500  0.59
Ho 0.333 0.667 0.000  0.01
Ho 0.667 0.333 0.000  0.01
Tm 0.000 0.000 0.000  0.00

SG	No. 12

---

[3]
Material: CeHoTm2As4
Method: DFT, PBE-GGA
State: optimized geometry

Lattice parameters (Å, degrees): 4.113 7.110 7.116 70.56 90.00 90.00
Each line ends with the local moment (μB).
Positions (direct):
Ho 0.000 0.500 0.500  0.01
As 0.500 0.754 0.250  -0.01
As 0.500 0.246 0.750  -0.01
As 0.000 0.756 0.746  -0.01
As 0.000 0.244 0.254  -0.01
Tm 0.000 0.000 0.000  0.00
Tm 0.500 0.000 0.500  0.00
Ce 0.500 0.500 0.000  0.51

SG	No. 10

---

[4]
Material: CeHoU2As4
Method: DFT, PBE-GGA
State: optimized geometry

Lattice parameters (Å, degrees): 4.092 7.089 7.237 109.05 90.00 90.00
Each line ends with the local moment (μB).
Positions (direct):
As 0.000 0.252 0.747  -0.05
As 0.000 0.748 0.253  -0.05
As 0.500 0.744 0.745  -0.05
As 0.500 0.256 0.255  -0.05
Ho 0.500 0.500 0.000  0.00
U 0.500 0.000 0.500  2.33
U 0.000 0.500 0.500  2.24
Ce 0.000 0.000 0.000  0.67

SG	No. 10

---

In kJ per mole of atoms, the formation energy values for the records above are, in order, -142.8 -142.0 -143.6 -105.8.